# 1
# Ac2La4Sm3, optimized geometry, DFT GGA-PBE
# Electronic total energy (eV per atom): -4.544
# E_form (eV/atom): 0.13
data_Ac2La4Sm3
_space_group_name_H-M_alt 'F m m m'
_space_group_IT_number 69
_space_group_name_Hall '-F 2 2'
_cell_length_a 6.5264
_cell_length_b 12.5415
_cell_length_c 16.6838
_cell_angle_alpha 90.00
_cell_angle_beta 90.00
_cell_angle_gamma 90.00
loop_
_atom_site_label
_atom_site_type_symbol
_atom_site_fract_x
_atom_site_fract_y
_atom_site_fract_z
_atom_site_occupancy
Ac1 Ac 0.0000 0.0000 0.1147 1
La1 La 0.0000 0.1480 0.3132 1
Sm1 Sm 0.0000 0.0000 0.5000 1
Sm2 Sm 0.2500 0.2500 0.0000 1

=====

# 2
# Ac5La5Sm2, optimized geometry, DFT GGA-PBE
# Electronic total energy (eV per atom): -4.523
# E_form (eV/atom): 0.03
data_Ac5La5Sm2
_space_group_name_H-M_alt 'C 1 2/m 1'
_space_group_IT_number 12
_cell_length_a 16.2203
_cell_length_b 5.4220
_cell_length_c 12.1116
_cell_angle_alpha 90.00
_cell_angle_beta 116.52
_cell_angle_gamma 90.00
loop_
_space_group_symop_operation_xyz
'x,y,z'
'-x,-y,-z'
'-x,y,-z'
'x,-y,z'
'x+1/2,y+1/2,z'
'-x+1/2,-y+1/2,-z'
'-x+1/2,y+1/2,-z'
'x+1/2,-y+1/2,z'
loop_
_atom_site_label
_atom_site_type_symbol
_atom_site_fract_x
_atom_site_fract_y
_atom_site_fract_z
_atom_site_occupancy
Ac1 Ac 0.0000 0.0000 0.0000 1
Ac2 Ac 0.1616 0.0000 0.4966 1
Ac3 Ac 0.2472 0.5000 0.7527 1
La1 La 0.0000 0.5000 0.5000 1
La2 La 0.0786 0.5000 0.2471 1
La3 La 0.1670 0.5000 0.0004 1
Sm1 Sm 0.0842 0.0000 0.7550 1

=====

# 3
# Ac4La5Sm, optimized geometry, DFT GGA-PBE
# Electronic total energy (eV per atom): -4.420
# E_form (eV/atom): 0.16
data_Ac4La5Sm
_space_group_name_H-M_alt 'C 1 2/m 1'
_space_group_IT_number 12
_cell_length_a 17.9817
_cell_length_b 3.7899
_cell_length_c 12.0691
_cell_angle_alpha 90.00
_cell_angle_beta 90.86
_cell_angle_gamma 90.00
loop_
_space_group_symop_operation_xyz
'x,y,z'
'-x,-y,-z'
'-x,y,-z'
'x,-y,z'
'x+1/2,y+1/2,z'
'-x+1/2,-y+1/2,-z'
'-x+1/2,y+1/2,-z'
'x+1/2,-y+1/2,z'
loop_
_atom_site_label
_atom_site_type_symbol
_atom_site_fract_x
_atom_site_fract_y
_atom_site_fract_z
_atom_site_occupancy
Ac1 Ac 0.0310 0.0000 0.2480 1
Ac2 Ac 0.1634 0.5000 0.7491 1
La1 La 0.0000 0.5000 0.5000 1
La2 La 0.1713 0.0000 0.0413 1
La3 La 0.1720 0.0000 0.4545 1
Sm1 Sm 0.0000 0.5000 0.0000 1

=====

# 4
# AcLa3Sm, optimized geometry, DFT GGA-PBE
# Electronic total energy (eV per atom): -4.624
# E_form (eV/atom): 0.10
data_AcLa3Sm
_space_group_name_H-M_alt 'P b c m'
_space_group_IT_number 57
_cell_length_a 14.5836
_cell_length_b 7.0391
_cell_length_c 7.4126
_cell_angle_alpha 90.00
_cell_angle_beta 90.00
_cell_angle_gamma 90.00
loop_
_space_group_symop_operation_xyz
'x,y,z'
'-x,-y,-z'
'-x,-y,z+1/2'
'x,y,-z+1/2'
'x,-y+1/2,-z'
'-x,y+1/2,z'
'-x,y+1/2,-z+1/2'
'x,-y+1/2,z+1/2'
loop_
_atom_site_label
_atom_site_type_symbol
_atom_site_fract_x
_atom_site_fract_y
_atom_site_fract_z
_atom_site_occupancy
Ac1 Ac 0.1252 0.2500 0.0000 1
La1 La 0.0924 0.7459 0.2500 1
La2 La 0.3165 0.5104 0.7500 1
La3 La 0.4898 0.2500 0.0000 1
Sm1 Sm 0.3185 0.5011 0.2500 1

=====

# 5
# Ac2La12Sm5, optimized geometry, DFT GGA-PBE
# Electronic total energy (eV per atom): -4.694
# E_form (eV/atom): 0.09
data_Ac2La12Sm5
_space_group_name_H-M_alt 'C 1 2/m 1'
_space_group_IT_number 12
_cell_length_a 13.5439
_cell_length_b 11.9151
_cell_length_c 9.7528
_cell_angle_alpha 90.00
_cell_angle_beta 116.99
_cell_angle_gamma 90.00
loop_
_space_group_symop_operation_xyz
'x,y,z'
'-x,-y,-z'
'-x,y,-z'
'x,-y,z'
'x+1/2,y+1/2,z'
'-x+1/2,-y+1/2,-z'
'-x+1/2,y+1/2,-z'
'x+1/2,-y+1/2,z'
loop_
_atom_site_label
_atom_site_type_symbol
_atom_site_fract_x
_atom_site_fract_y
_atom_site_fract_z
_atom_site_occupancy
Ac1 Ac 0.0000 0.2337 0.0000 1
La1 La 0.0722 0.0000 0.7722 1
La2 La 0.1090 0.2177 0.4283 1
La3 La 0.1284 0.5000 0.9498 1
La4 La 0.1877 0.2585 0.8016 1
Sm1 Sm 0.0000 0.5000 0.5000 1
Sm2 Sm 0.1890 0.5000 0.3309 1
Sm3 Sm 0.1932 0.0000 0.2398 1

=====

# 6
# Ac4La3Sm2, optimized geometry, DFT GGA-PBE
# Electronic total energy (eV per atom): -4.424
# E_form (eV/atom): 0.09
data_Ac4La3Sm2
_space_group_name_H-M_alt 'C 1 2/m 1'
_space_group_IT_number 12
_cell_length_a 15.4877
_cell_length_b 3.8819
_cell_length_c 13.8073
_cell_angle_alpha 90.00
_cell_angle_beta 118.88
_cell_angle_gamma 90.00
loop_
_space_group_symop_operation_xyz
'x,y,z'
'-x,-y,-z'
'-x,y,-z'
'x,-y,z'
'x+1/2,y+1/2,z'
'-x+1/2,-y+1/2,-z'
'-x+1/2,y+1/2,-z'
'x+1/2,-y+1/2,z'
loop_
_atom_site_label
_atom_site_type_symbol
_atom_site_fract_x
_atom_site_fract_y
_atom_site_fract_z
_atom_site_occupancy
Ac1 Ac 0.1135 0.0000 0.3624 1
Ac2 Ac 0.1335 0.5000 0.8847 1
La1 La 0.0000 0.0000 0.0000 1
La2 La 0.1096 0.5000 0.6022 1
Sm1 Sm 0.2002 0.5000 0.1855 1

=====

# 7
# AcLa2Sm6, optimized geometry, DFT GGA-PBE
# Electronic total energy (eV per atom): -4.095
# E_form (eV/atom): 0.60
data_AcLa2Sm6
_space_group_name_H-M_alt 'I -4 2 m'
_space_group_IT_number 121
_space_group_name_Hall 'I -4 2'
_cell_length_a 4.5132
_cell_length_b 4.5132
_cell_length_c 36.0668
_cell_angle_alpha 90.00
_cell_angle_beta 90.00
_cell_angle_gamma 90.00
loop_
_atom_site_label
_atom_site_type_symbol
_atom_site_fract_x
_atom_site_fract_y
_atom_site_fract_z
_atom_site_occupancy
Ac1 Ac 0.0000 0.0000 0.0000 1
La1 La 0.0000 0.0000 0.3298 1
Sm1 Sm 0.0000 0.5000 0.2500 1
Sm2 Sm 0.2483 0.2483 0.0872 1

=====

# 8
# Ac12LaSm6, optimized geometry, DFT GGA-PBE
# Electronic total energy (eV per atom): -4.166
# E_form (eV/atom): 0.18
data_Ac12LaSm6
_space_group_name_H-M_alt 'R -3 m'
_space_group_IT_number 166
_space_group_name_Hall '-R 3 2"'
_cell_length_a 14.2634
_cell_length_b 14.2634
_cell_length_c 13.8041
_cell_angle_alpha 90.00
_cell_angle_beta 90.00
_cell_angle_gamma 120.00
loop_
_atom_site_label
_atom_site_type_symbol
_atom_site_fract_x
_atom_site_fract_y
_atom_site_fract_z
_atom_site_occupancy
Ac1 Ac 0.0000 0.2628 0.0000 1
Ac2 Ac 0.0559 0.5279 0.1152 1
La1 La 0.0000 0.0000 0.0000 1
Sm1 Sm 0.0871 0.1741 0.7723 1